The following is a PBE calculation of a geometry-optimized LaIn6Pt3 structure, from Alexandria via LeMat-Bulk.

Cell and atoms, written as CIF:
```
data_LaIn6Pt3
_cell_length_a 9.869
_cell_length_b 4.544
_cell_length_c 10.271
_cell_angle_alpha 90.00
_cell_angle_beta 94.66
_cell_angle_gamma 90.00
_symmetry_space_group_name_H-M 'P 1 21/m 1'
_symmetry_Int_Tables_number 11
_symmetry_space_group_name_Hall '-P 2yb'
loop_
_atom_site_label
_atom_site_fract_x
_atom_site_fract_y
_atom_site_fract_z
La1 0.097 0.250 0.258
In1 0.086 0.250 0.922
In2 0.127 0.750 0.498
In3 0.270 0.750 0.786
In4 0.341 0.750 0.292
In5 0.370 0.250 0.559
In6 0.396 0.250 0.064
Pt1 0.121 0.250 0.658
Pt2 0.201 0.750 0.044
Pt3 0.491 0.250 0.327
```

---

The following is a PBE calculation of a geometry-optimized LaIn2Pt3 structure, from Alexandria via LeMat-Bulk.

Cell and atoms, written as CIF:
```
data_LaIn2Pt3
_cell_length_a 9.950
_cell_length_b 9.463
_cell_length_c 5.793
_cell_angle_alpha 90.00
_cell_angle_beta 90.00
_cell_angle_gamma 90.00
_symmetry_space_group_name_H-M 'C m c m'
_symmetry_Int_Tables_number 63
_symmetry_space_group_name_Hall '-C 2c 2'
loop_
_atom_site_label
_atom_site_fract_x
_atom_site_fract_y
_atom_site_fract_z
La1 0.000 0.246 0.250
In1 0.238 0.000 0.000
Pt1 0.000 0.068 0.750
Pt2 0.195 0.269 0.750
```

---

The following is a PBE calculation of a geometry-optimized La2InPt structure, from Alexandria via LeMat-Bulk.

Cell and atoms, written as CIF:
```
data_La2InPt
_cell_length_a 4.728
_cell_length_b 5.541
_cell_length_c 8.501
_cell_angle_alpha 90.00
_cell_angle_beta 90.00
_cell_angle_gamma 90.00
_symmetry_space_group_name_H-M 'I m m m'
_symmetry_Int_Tables_number 71
_symmetry_space_group_name_Hall '-I 2 2'
loop_
_atom_site_label
_atom_site_fract_x
_atom_site_fract_y
_atom_site_fract_z
La1 0.000 0.000 0.223
In1 0.000 0.500 0.000
Pt1 0.000 0.500 0.500
```

---

The following is a PBE calculation of a geometry-optimized La2InPt structure, from Alexandria via LeMat-Bulk.

Cell and atoms, written as CIF:
```
data_La2InPt
_cell_length_a 4.403
_cell_length_b 4.432
_cell_length_c 11.820
_cell_angle_alpha 90.00
_cell_angle_beta 90.00
_cell_angle_gamma 90.00
_symmetry_space_group_name_H-M 'A m m 2'
_symmetry_Int_Tables_number 38
_symmetry_space_group_name_Hall 'A 2 -2'
loop_
_atom_site_label
_atom_site_fract_x
_atom_site_fract_y
_atom_site_fract_z
La1 0.000 0.000 0.000
La2 0.500 0.000 0.289
In1 0.500 0.000 0.581
Pt1 0.000 0.000 0.746
```

---

The following is a PBE calculation of a geometry-optimized La8In2Pt3 structure, from Alexandria via LeMat-Bulk.

Cell and atoms, written as CIF:
```
data_La8In2Pt3
_cell_length_a 9.364
_cell_length_b 5.157
_cell_length_c 9.384
_cell_angle_alpha 90.00
_cell_angle_beta 111.60
_cell_angle_gamma 90.00
_symmetry_space_group_name_H-M 'P 1 2/m 1'
_symmetry_Int_Tables_number 10
_symmetry_space_group_name_Hall '-P 2y'
loop_
_atom_site_label
_atom_site_fract_x
_atom_site_fract_y
_atom_site_fract_z
La1 0.112 0.000 0.388
La2 0.131 0.500 0.861
La3 0.360 0.500 0.631
La4 0.387 0.000 0.113
In1 0.254 0.500 0.246
Pt1 0.000 0.500 0.500
Pt2 0.265 0.000 0.765
```

---

The following is a PBE calculation of a geometry-optimized La2In3Pt4 structure, from Alexandria via LeMat-Bulk.

Cell and atoms, written as CIF:
```
data_La2In3Pt4
_cell_length_a 6.060
_cell_length_b 17.165
_cell_length_c 7.584
_cell_angle_alpha 90.00
_cell_angle_beta 90.00
_cell_angle_gamma 90.00
_symmetry_space_group_name_H-M 'C m c e'
_symmetry_Int_Tables_number 64
_symmetry_space_group_name_Hall '-C 2ac 2'
loop_
_atom_site_label
_atom_site_fract_x
_atom_site_fract_y
_atom_site_fract_z
La1 0.000 0.103 0.087
In1 0.000 0.000 0.500
In2 0.250 0.235 0.750
Pt1 0.000 0.166 0.472
Pt2 0.250 0.071 0.750
```

---

The following is a PBE calculation of a geometry-optimized La3InPt structure, from Alexandria via LeMat-Bulk.

Cell and atoms, written as CIF:
```
data_La3InPt
_cell_length_a 5.665
_cell_length_b 5.665
_cell_length_c 5.665
_cell_angle_alpha 90.00
_cell_angle_beta 90.00
_cell_angle_gamma 90.00
_symmetry_space_group_name_H-M 'P m -3 m'
_symmetry_Int_Tables_number 221
_symmetry_space_group_name_Hall '-P 4 2 3'
loop_
_atom_site_label
_atom_site_fract_x
_atom_site_fract_y
_atom_site_fract_z
La1 0.000 0.000 0.500
In1 0.500 0.500 0.500
Pt1 0.000 0.000 0.000
```

---

The following is a PBE calculation of a geometry-optimized La2InPt structure, from Alexandria via LeMat-Bulk.

Cell and atoms, written as CIF:
```
data_La2InPt
_cell_length_a 8.454
_cell_length_b 8.454
_cell_length_c 6.746
_cell_angle_alpha 90.00
_cell_angle_beta 90.00
_cell_angle_gamma 90.00
_symmetry_space_group_name_H-M 'I -4 2 d'
_symmetry_Int_Tables_number 122
_symmetry_space_group_name_Hall 'I -4 2bw'
loop_
_atom_site_label
_atom_site_fract_x
_atom_site_fract_y
_atom_site_fract_z
La1 0.198 0.250 0.125
In1 0.000 0.000 0.500
Pt1 0.000 0.000 0.000
```

---

The following is a PBE calculation of a geometry-optimized LaIn2Pt2 structure, from Alexandria via LeMat-Bulk.

Cell and atoms, written as CIF:
```
data_LaIn2Pt2
_cell_length_a 4.895
_cell_length_b 4.895
_cell_length_c 9.928
_cell_angle_alpha 90.00
_cell_angle_beta 90.00
_cell_angle_gamma 90.00
_symmetry_space_group_name_H-M 'I 4/m m m'
_symmetry_Int_Tables_number 139
_symmetry_space_group_name_Hall '-I 4 2'
loop_
_atom_site_label
_atom_site_fract_x
_atom_site_fract_y
_atom_site_fract_z
La1 0.000 0.000 0.000
In1 0.000 0.000 0.360
Pt1 0.000 0.500 0.250
```

---

The following is a PBE calculation of a geometry-optimized La6In2Pt structure, from Alexandria via LeMat-Bulk.

Cell and atoms, written as CIF:
```
data_La6In2Pt
_cell_length_a 9.1228
_cell_length_b 9.1228
_cell_length_c 3.9588
_cell_angle_alpha 90.00
_cell_angle_beta 90.00
_cell_angle_gamma 120.00
_symmetry_space_group_name_H-M 'P -6 2 m'
_symmetry_Int_Tables_number 189
_symmetry_space_group_name_Hall 'P -6 -2'
loop_
_atom_site_label
_atom_site_fract_x
_atom_site_fract_y
_atom_site_fract_z
La1 0.0000 0.2457 0.0000
La2 0.0000 0.6004 0.5000
In1 0.3333 0.6667 0.0000
Pt1 0.0000 0.0000 0.5000
```

---

The following is a PBE calculation of a geometry-optimized La6InPt4 structure, from Alexandria via LeMat-Bulk.

Cell and atoms, written as CIF:
```
data_La6InPt4
_cell_length_a 4.255
_cell_length_b 14.363
_cell_length_c 21.760
_cell_angle_alpha 90.00
_cell_angle_beta 90.00
_cell_angle_gamma 90.00
_symmetry_space_group_name_H-M 'C m c m'
_symmetry_Int_Tables_number 63
_symmetry_space_group_name_Hall '-C 2c 2'
loop_
_atom_site_label
_atom_site_fract_x
_atom_site_fract_y
_atom_site_fract_z
La1 0.000 0.000 0.000
La2 0.000 0.164 0.250
La3 0.000 0.269 0.585
La4 0.000 0.460 0.156
In1 0.000 0.159 0.750
Pt1 0.000 0.095 0.124
Pt2 0.000 0.362 0.040
```

---

The following is a PBE calculation of a geometry-optimized LaInPt2 structure, from Alexandria via LeMat-Bulk.

Cell and atoms, written as CIF:
```
data_LaInPt2
_cell_length_a 4.349
_cell_length_b 3.943
_cell_length_c 10.445
_cell_angle_alpha 90.00
_cell_angle_beta 90.00
_cell_angle_gamma 90.00
_symmetry_space_group_name_H-M 'A m m 2'
_symmetry_Int_Tables_number 38
_symmetry_space_group_name_Hall 'A 2 -2'
loop_
_atom_site_label
_atom_site_fract_x
_atom_site_fract_y
_atom_site_fract_z
La1 0.000 0.000 0.000
In1 0.500 0.000 0.288
Pt1 0.000 0.000 0.729
Pt2 0.500 0.000 0.559
```

---

The following is a PBE calculation of a geometry-optimized LaInPt3 structure, from Alexandria via LeMat-Bulk.

Cell and atoms, written as CIF:
```
data_LaInPt3
_cell_length_a 4.988
_cell_length_b 4.988
_cell_length_c 4.988
_cell_angle_alpha 90.00
_cell_angle_beta 90.00
_cell_angle_gamma 90.00
_symmetry_space_group_name_H-M 'P m -3 m'
_symmetry_Int_Tables_number 221
_symmetry_space_group_name_Hall '-P 4 2 3'
loop_
_atom_site_label
_atom_site_fract_x
_atom_site_fract_y
_atom_site_fract_z
La1 0.000 0.000 0.000
In1 0.500 0.500 0.500
Pt1 0.000 0.500 0.500
```

---

The following is a PBE calculation of a geometry-optimized La2In6Pt structure, from Alexandria via LeMat-Bulk.

Cell and atoms, written as CIF:
```
data_La2In6Pt
_cell_length_a 3.931
_cell_length_b 4.772
_cell_length_c 26.273
_cell_angle_alpha 90.00
_cell_angle_beta 90.00
_cell_angle_gamma 90.00
_symmetry_space_group_name_H-M 'A m m 2'
_symmetry_Int_Tables_number 38
_symmetry_space_group_name_Hall 'A 2 -2'
loop_
_atom_site_label
_atom_site_fract_x
_atom_site_fract_y
_atom_site_fract_z
La1 0.000 0.000 0.000
La2 0.000 0.000 0.326
In1 0.000 0.000 0.618
In2 0.000 0.000 0.735
In3 0.500 0.000 0.106
In4 0.500 0.000 0.216
In5 0.500 0.000 0.437
In6 0.500 0.000 0.874
Pt1 0.500 0.000 0.540
```

---

The following is a PBE calculation of a geometry-optimized LaInPt3 structure, from Alexandria via LeMat-Bulk.

Cell and atoms, written as CIF:
```
data_LaInPt3
_cell_length_a 5.276
_cell_length_b 5.276
_cell_length_c 5.276
_cell_angle_alpha 90.00
_cell_angle_beta 90.00
_cell_angle_gamma 90.00
_symmetry_space_group_name_H-M 'P m -3 m'
_symmetry_Int_Tables_number 221
_symmetry_space_group_name_Hall '-P 4 2 3'
loop_
_atom_site_label
_atom_site_fract_x
_atom_site_fract_y
_atom_site_fract_z
La1 0.000 0.000 0.000
In1 0.500 0.500 0.500
Pt1 0.000 0.000 0.500
```

---

The following is a PBE calculation of a geometry-optimized La2In12Pt7 structure, from Alexandria via LeMat-Bulk.

Cell and atoms, written as CIF:
```
data_La2In12Pt7
_cell_length_a 11.2391
_cell_length_b 11.2391
_cell_length_c 4.2186
_cell_angle_alpha 90.00
_cell_angle_beta 90.00
_cell_angle_gamma 120.00
_symmetry_space_group_name_H-M 'P -6'
_symmetry_Int_Tables_number 174
_symmetry_space_group_name_Hall 'P -6'
loop_
_atom_site_label
_atom_site_fract_x
_atom_site_fract_y
_atom_site_fract_z
La1 0.0000 0.0000 0.0000
La2 0.3333 0.6667 0.5000
In1 0.0477 0.2820 0.5000
In2 0.1115 0.7194 0.0000
In3 0.3864 0.1749 0.0000
In4 0.5329 0.4225 0.5000
Pt1 0.0737 0.4612 0.0000
Pt2 0.2461 0.2102 0.5000
Pt3 0.6667 0.3333 0.0000
```

---

The following is a PBE calculation of a geometry-optimized LaInPt2 structure, from Alexandria via LeMat-Bulk.

Cell and atoms, written as CIF:
```
data_LaInPt2
_cell_length_a 5.480
_cell_length_b 5.480
_cell_length_c 15.474
_cell_angle_alpha 90.00
_cell_angle_beta 90.00
_cell_angle_gamma 90.00
_symmetry_space_group_name_H-M 'I -4 2 d'
_symmetry_Int_Tables_number 122
_symmetry_space_group_name_Hall 'I -4 2bw'
loop_
_atom_site_label
_atom_site_fract_x
_atom_site_fract_y
_atom_site_fract_z
La1 0.000 0.000 0.000
In1 0.000 0.000 0.500
Pt1 0.210 0.250 0.625
```

---

The following is a PBE calculation of a geometry-optimized LaIn2Pt2 structure, from Alexandria via LeMat-Bulk.

Cell and atoms, written as CIF:
```
data_LaIn2Pt2
_cell_length_a 8.367
_cell_length_b 8.367
_cell_length_c 3.004
_cell_angle_alpha 90.00
_cell_angle_beta 90.00
_cell_angle_gamma 90.00
_symmetry_space_group_name_H-M 'P 4/m b m'
_symmetry_Int_Tables_number 127
_symmetry_space_group_name_Hall '-P 4 2ab'
loop_
_atom_site_label
_atom_site_fract_x
_atom_site_fract_y
_atom_site_fract_z
La1 0.000 0.000 0.000
In1 0.125 0.375 0.000
Pt1 0.173 0.673 0.500
```

---

The following is a PBE calculation of a geometry-optimized LaIn9Pt2 structure, from Alexandria via LeMat-Bulk.

Cell and atoms, written as CIF:
```
data_LaIn9Pt2
_cell_length_a 12.671
_cell_length_b 12.671
_cell_length_c 7.263
_cell_angle_alpha 90.00
_cell_angle_beta 90.00
_cell_angle_gamma 90.00
_symmetry_space_group_name_H-M 'I 41/a m d'
_symmetry_Int_Tables_number 141
loop_
_symmetry_equiv_pos_as_xyz
'x,y,z'
'-x,-y,-z'
'-y+1/4,x+3/4,z+1/4'
'y+1/4,-x+3/4,-z+1/4'
'-x+1/2,-y,z+1/2'
'x+1/2,y,-z+1/2'
'y+1/4,-x+1/4,z+3/4'
'-y+1/4,x+1/4,-z+3/4'
'x,-y,-z'
'-x,y,z'
'-y+1/4,-x+1/4,-z+3/4'
'y+1/4,x+1/4,z+3/4'
'-x+1/2,y,-z+1/2'
'x+1/2,-y,z+1/2'
'y+1/4,x+3/4,-z+1/4'
'-y+1/4,-x+3/4,z+1/4'
'x+1/2,y+1/2,z+1/2'
'-x+1/2,-y+1/2,-z+1/2'
'-y+3/4,x+1/4,z+3/4'
'y+3/4,-x+1/4,-z+3/4'
'-x,-y+1/2,z'
'x,y+1/2,-z'
'y+3/4,-x+3/4,z+1/4'
'-y+3/4,x+3/4,-z+1/4'
'x+1/2,-y+1/2,-z+1/2'
'-x+1/2,y+1/2,z+1/2'
'-y+3/4,-x+3/4,-z+1/4'
'y+3/4,x+3/4,z+1/4'
'-x,y+1/2,-z'
'x,-y+1/2,z'
'y+3/4,x+1/4,-z+3/4'
'-y+3/4,-x+1/4,z+3/4'
loop_
_atom_site_label
_atom_site_fract_x
_atom_site_fract_y
_atom_site_fract_z
La1 0.000 0.250 0.375
In1 0.000 0.250 0.875
In2 0.120 0.068 0.669
Pt1 0.000 0.000 0.000
```

---

The following is a PBE calculation of a geometry-optimized La2InPt structure, from Alexandria via LeMat-Bulk.

Cell and atoms, written as CIF:
```
data_La2InPt
_cell_length_a 3.726
_cell_length_b 3.707
_cell_length_c 8.021
_cell_angle_alpha 90.00
_cell_angle_beta 90.06
_cell_angle_gamma 90.00
_symmetry_space_group_name_H-M 'P 1 2/m 1'
_symmetry_Int_Tables_number 10
_symmetry_space_group_name_Hall '-P 2y'
loop_
_atom_site_label
_atom_site_fract_x
_atom_site_fract_y
_atom_site_fract_z
La1 0.000 0.000 0.218
In1 0.500 0.500 0.500
Pt1 0.500 0.500 0.000
```

---

The following is a PBE calculation of a geometry-optimized La3In8Pt3 structure, from Alexandria via LeMat-Bulk.

Cell and atoms, written as CIF:
```
data_La3In8Pt3
_cell_length_a 17.308
_cell_length_b 4.812
_cell_length_c 9.922
_cell_angle_alpha 90.00
_cell_angle_beta 124.98
_cell_angle_gamma 90.00
_symmetry_space_group_name_H-M 'C 1 2/m 1'
_symmetry_Int_Tables_number 12
_symmetry_space_group_name_Hall '-C 2y'
loop_
_atom_site_label
_atom_site_fract_x
_atom_site_fract_y
_atom_site_fract_z
La1 0.000 0.000 0.000
La2 0.216 0.500 0.720
In1 0.006 0.500 0.672
In2 0.140 0.000 0.437
In3 0.151 0.500 0.277
In4 0.153 0.000 0.868
Pt1 0.000 0.000 0.500
Pt2 0.149 0.500 0.004
```

---

The following is a PBE calculation of a geometry-optimized LaIn2Pt structure, from Alexandria via LeMat-Bulk.

Cell and atoms, written as CIF:
```
data_LaIn2Pt
_cell_length_a 3.875
_cell_length_b 4.363
_cell_length_c 12.384
_cell_angle_alpha 90.00
_cell_angle_beta 90.00
_cell_angle_gamma 90.00
_symmetry_space_group_name_H-M 'A m m 2'
_symmetry_Int_Tables_number 38
_symmetry_space_group_name_Hall 'A 2 -2'
loop_
_atom_site_label
_atom_site_fract_x
_atom_site_fract_y
_atom_site_fract_z
La1 0.000 0.000 0.000
In1 0.000 0.000 0.277
In2 0.500 0.000 0.680
Pt1 0.500 0.000 0.450
```

---

| no. | final energy (eV per atom) |
| --- | --- |
| 1 | -4.512 |
| 2 | -5.445 |
| 3 | -5.326 |
| 4 | -5.405 |
| 5 | -5.452 |
| 6 | -5.536 |
| 7 | -5.199 |
| 8 | -5.206 |
| 9 | -5.134 |
| 10 | -5.088 |
| 11 | -6.079 |
| 12 | -5.852 |
| 13 | -5.264 |
| 14 | -4.013 |
| 15 | -4.496 |
| 16 | -4.642 |
| 17 | -5.390 |
| 18 | -5.019 |
| 19 | -3.700 |
| 20 | -5.453 |
| 21 | -4.540 |
| 22 | -4.738 |